Density functional theory data (PBE-GGA) for an optimized crystal structure of YCuRu2.

Cell and atoms, written as POSCAR:
```
YCuRu2
1.0
-2.036 3.233 2.426
-2.207 -1.914 0.698
2.001 -1.836 4.126
Cu Ru Y
1 2 1
Direct
0.500 0.750 0.750
0.000 0.939 0.976
0.000 0.561 0.524
0.500 0.250 0.250
```

Summary:
Energy relative to the lowest polymorph listed for this composition: 128 meV/atom
Symmetry: P2/m (10)
Crystal system: monoclinic
Energy relative to the elements: 0.20 eV/atom